Entry 1:
A relaxed Pm3CdHg2 crystal, computed with PBE.

Properties
* magnetic moment: 2.87 μB per cell
* density: 9.4 g/cm3
* symmetry: No. 164
* VASP energy: -3.05 eV/atom

a b c (Å): 5.4001 5.4001 13.2071
angles (deg): 90.00 90.00 120.00
Each line ends with the local moment (μB).
Fractional positions:
Pm 0.3333 0.6667 0.4173  0.21
Pm 0.6667 0.3333 0.0810  0.25
Pm 0.0000 0.0000 0.7519  0.22
Pm 0.0000 0.0000 0.2481  0.22
Pm 0.3333 0.6667 0.9190  0.25
Pm 0.6667 0.3333 0.5827  0.21
Cd 0.3333 0.6667 0.6677  0.02
Cd 0.6667 0.3333 0.3323  0.02
Hg 0.0000 0.0000 0.5000  0.03
Hg 0.3333 0.6667 0.1707  0.03
Hg 0.6667 0.3333 0.8293  0.03
Hg 0.0000 0.0000 0.0000  0.03


Entry 2:
A relaxed PmCd11Hg crystal, computed with PBE.

Properties
* magnetic moment: 0.00 μB per cell
* density: 8.8 g/cm3
* symmetry: No. 12
* VASP energy: -1.26 eV/atom

a b c (Å): 6.0351 7.6578 7.6669
angles (deg): 81.16 66.82 67.02
Fractional positions:
Pm 0.0000 0.0000 0.0000
Cd 0.2841 0.2125 0.2132
Cd 0.7159 0.7875 0.7868
Cd 0.5027 0.7875 0.2132
Cd 0.4973 0.2125 0.7868
Cd 0.3499 0.6492 0.6475
Cd 0.6501 0.3508 0.3525
Cd 0.0027 0.3508 0.6475
Cd 0.9973 0.6492 0.3525
Cd 0.0000 0.5000 0.0000
Cd 0.5000 0.0000 0.5000
Cd 0.0000 0.0000 0.5000
Hg 0.5000 0.5000 0.0000


Entry 3:
A relaxed Pm4CdHg7 crystal, computed with PBE.

Properties
* magnetic moment: 0.00 μB per cell
* density: 10.2 g/cm3
* symmetry: No. 12
* VASP energy: -2.12 eV/atom

a b c (Å): 5.4347 9.6968 7.2874
angles (deg): 77.94 68.11 73.73
Fractional positions:
Pm 0.5767 0.2238 0.6228
Pm 0.4233 0.7762 0.3772
Pm 0.7383 0.6834 0.8400
Pm 0.2617 0.3166 0.1600
Cd 0.0000 0.0000 0.0000
Hg 0.8079 0.9227 0.4615
Hg 0.1921 0.0773 0.5385
Hg 0.0811 0.6600 0.1779
Hg 0.9189 0.3400 0.8221
Hg 0.3601 0.5356 0.7441
Hg 0.5000 0.0000 0.0000
Hg 0.6399 0.4644 0.2559


Entry 4:
A relaxed Pm6Cd3Hg crystal, computed with PBE.

Properties
* magnetic moment: 0.00 μB per cell
* density: 8.1 g/cm3
* symmetry: No. 11
* VASP energy: -3.41 eV/atom

a b c (Å): 5.4465 9.3868 12.0019
angles (deg): 108.96 90.00 90.00
Fractional positions:
Pm 0.2500 0.4611 0.0858
Pm 0.7500 0.5389 0.9142
Pm 0.2500 0.1339 0.1526
Pm 0.7500 0.8661 0.8474
Pm 0.2500 0.6623 0.6744
Pm 0.7500 0.3377 0.3256
Pm 0.2500 0.2566 0.5006
Pm 0.7500 0.7434 0.4994
Pm 0.2500 0.8434 0.3025
Pm 0.7500 0.1566 0.6975
Pm 0.2500 0.0897 0.8687
Pm 0.7500 0.9103 0.1313
Cd 0.2500 0.5301 0.3730
Cd 0.7500 0.4699 0.6270
Cd 0.2500 0.3912 0.7853
Cd 0.7500 0.6088 0.2147
Cd 0.2500 0.7695 0.9763
Cd 0.7500 0.2305 0.0237
Hg 0.2500 0.9546 0.5885
Hg 0.7500 0.0454 0.4115